Entry 1:
# PBE ErLuNi2, optimized geometry
# - Energy of formation: -511 meV per atom
data_ErLuNi2
_chemical_formula_sum 'Er2 Lu2 Ni4'
_symmetry_space_group_name_H-M 'P m n 21'
_symmetry_Int_Tables_number 31
_symmetry_space_group_name_Hall 'P 2ac -2'
_cell_length_a 4.1018
_cell_length_b 6.9219
_cell_length_c 5.3468
_cell_angle_alpha 90.00
_cell_angle_beta 90.00
_cell_angle_gamma 90.00
loop_
_atom_site_label
_atom_site_type_symbol
_atom_site_fract_x
_atom_site_fract_y
_atom_site_fract_z
Er1 Er 0.0000 0.0713 0.0000
Lu1 Lu 0.0000 0.5692 0.2355
Ni1 Ni 0.0000 0.2162 0.4965
Ni2 Ni 0.0000 0.7092 0.7410

---

Entry 2:
# PBE ErLu6Ni2S2, optimized geometry
# - Raw total energy: -5.517 eV per atom
data_ErLu6Ni2S2
_chemical_formula_sum 'Er2 Lu12 Ni4 S4'
_symmetry_space_group_name_H-M 'I m m 2'
_symmetry_Int_Tables_number 44
_symmetry_space_group_name_Hall 'I 2 -2'
_cell_length_a 3.6926
_cell_length_b 14.4752
_cell_length_c 8.9780
_cell_angle_alpha 90.00
_cell_angle_beta 90.00
_cell_angle_gamma 90.00
loop_
_atom_site_label
_atom_site_type_symbol
_atom_site_fract_x
_atom_site_fract_y
_atom_site_fract_z
Er1 Er 0.0000 0.0000 0.0000
Lu1 Lu 0.0000 0.1207 0.5975
Lu2 Lu 0.0000 0.3142 0.3893
Lu3 Lu 0.0000 0.3652 0.7522
Ni1 Ni 0.0000 0.2405 0.0878
S1 S 0.0000 0.0000 0.3496
S2 S 0.0000 0.5000 0.2503

---

Copy entry 1 word for word.
# PBE ErLuNi2, optimized geometry
# - Energy of formation: -511 meV per atom
data_ErLuNi2
_chemical_formula_sum 'Er2 Lu2 Ni4'
_symmetry_space_group_name_H-M 'P m n 21'
_symmetry_Int_Tables_number 31
_symmetry_space_group_name_Hall 'P 2ac -2'
_cell_length_a 4.1018
_cell_length_b 6.9219
_cell_length_c 5.3468
_cell_angle_alpha 90.00
_cell_angle_beta 90.00
_cell_angle_gamma 90.00
loop_
_atom_site_label
_atom_site_type_symbol
_atom_site_fract_x
_atom_site_fract_y
_atom_site_fract_z
Er1 Er 0.0000 0.0713 0.0000
Lu1 Lu 0.0000 0.5692 0.2355
Ni1 Ni 0.0000 0.2162 0.4965
Ni2 Ni 0.0000 0.7092 0.7410